Record 1
Here is Na3LaU2N6 after structural relaxation from Alexandria. Energies are from PBE-GGA.

Structure (POSCAR):
```
Na3LaU2N6
1.0
7.742 -1.796 0.000
7.742 1.796 0.000
-1.466 0.000 6.854
Na La U N
3 1 2 6
Direct
0.000 0.000 0.000
0.326 0.326 0.661
0.674 0.674 0.339
0.000 0.000 0.500
0.331 0.331 0.165
0.669 0.669 0.835
0.164 0.164 0.642
0.189 0.189 0.052
0.466 0.466 0.243
0.534 0.534 0.757
0.811 0.811 0.948
0.836 0.836 0.358
```

V: 15.88 Å³ per atom
SG: C2/m
Formation energy from raw total energies: -1.007 eV/atom

=====

Record 2
Here is Na4LaU3N8 after structural relaxation from Alexandria. Energies are from PBE-GGA.

Structure (POSCAR):
```
Na4LaU3N8
1.0
3.560 2.056 5.664
-3.560 2.056 5.664
0.000 -4.111 5.664
Na La U N
4 1 3 8
Direct
0.000 0.000 0.000
0.000 0.500 0.500
0.500 0.000 0.500
0.500 0.500 0.000
0.500 0.500 0.500
0.000 0.000 0.500
0.000 0.500 0.000
0.500 0.000 0.000
0.192 0.744 0.744
0.230 0.230 0.230
0.256 0.256 0.808
0.256 0.808 0.256
0.744 0.192 0.744
0.744 0.744 0.192
0.770 0.770 0.770
0.808 0.256 0.256
```

V: 15.54 Å³ per atom
SG: R-3m
Formation energy from raw total energies: -1.017 eV/atom

=====

Record 3
Here is NaLa2UN4 after structural relaxation from Alexandria. Energies are from PBE-GGA.

Structure (POSCAR):
```
NaLa2UN4
1.0
0.000 5.239 3.576
3.577 0.000 3.576
3.577 5.239 0.000
Na La U N
1 2 1 4
Direct
0.000 0.000 0.000
0.246 0.246 0.254
0.746 0.746 0.754
0.484 0.484 0.516
0.044 0.504 0.956
0.294 0.693 0.307
0.504 0.044 0.496
0.693 0.294 0.706
```

V: 16.75 Å³ per atom
SG: Fmm2
Formation energy from raw total energies: -1.166 eV/atom

=====

Record 4
Here is Na2LaWN4 after structural relaxation from Alexandria. Energies are from PBE-GGA.

Structure (POSCAR):
```
Na2LaWN4
1.0
6.138 0.000 0.000
0.000 6.138 0.000
0.000 0.000 6.654
Na La W N
4 2 2 8
Direct
0.000 0.500 0.250
0.000 0.500 0.750
0.500 0.000 0.250
0.500 0.000 0.750
0.000 0.000 0.000
0.500 0.500 0.500
0.000 0.000 0.500
0.500 0.500 0.000
0.171 0.171 0.675
0.171 0.829 0.325
0.329 0.329 0.175
0.329 0.671 0.825
0.671 0.329 0.825
0.671 0.671 0.175
0.829 0.171 0.325
0.829 0.829 0.675
```

V: 15.67 Å³ per atom
SG: I-42m
Formation energy from raw total energies: -0.469 eV/atom